#1
Computed, not measured: crystalline BaNa3Cd at its relaxed geometry at the PBE level of DFT.

Cell and atoms, written as CIF:
```
data_BaNa3Cd
_chemical_formula_sum 'Ba8 Na24 Cd8'
_cell_length_a 19.054
_cell_length_b 11.133
_cell_length_c 7.398
_cell_angle_alpha 90.00
_cell_angle_beta 100.93
_cell_angle_gamma 90.00
_symmetry_space_group_name_H-M 'C 1 2/c 1'
_symmetry_Int_Tables_number 15
_symmetry_space_group_name_Hall '-C 2yc'
loop_
_atom_site_label
_atom_site_type_symbol
_atom_site_fract_x
_atom_site_fract_y
_atom_site_fract_z
Ba1 Ba 0.000 0.057 0.250
Ba2 Ba 0.000 0.355 0.750
Na1 Na 0.173 0.167 0.076
Na2 Na 0.177 0.167 0.595
Na3 Na 0.185 0.499 0.596
Cd1 Cd 0.080 0.341 0.295
```

Calculated values
Crystal system: monoclinic
Size of the total moment (μB/f.u.): 0.00

#2
Computed, not measured: crystalline BaNa3Cd at its relaxed geometry at the PBE level of DFT.

Cell and atoms, written as CIF:
```
data_BaNa3Cd
_chemical_formula_sum 'Ba1 Na3 Cd1'
_cell_length_a 7.485
_cell_length_b 7.485
_cell_length_c 7.485
_cell_angle_alpha 90.00
_cell_angle_beta 90.00
_cell_angle_gamma 90.00
_symmetry_space_group_name_H-M 'P m -3 m'
_symmetry_Int_Tables_number 221
_symmetry_space_group_name_Hall '-P 4 2 3'
loop_
_atom_site_label
_atom_site_type_symbol
_atom_site_fract_x
_atom_site_fract_y
_atom_site_fract_z
Ba1 Ba 0.000 0.000 0.000
Na1 Na 0.000 0.000 0.500
Cd1 Cd 0.500 0.500 0.500
```

Calculated values
Crystal system: cubic
Size of the total moment (μB/f.u.): 1.00

#3
Computed, not measured: crystalline BaNa3Cd at its relaxed geometry at the PBE level of DFT.

Cell and atoms, written as CIF:
```
data_BaNa3Cd
_chemical_formula_sum 'Ba1 Na3 Cd1'
_cell_length_a 5.943
_cell_length_b 5.943
_cell_length_c 5.943
_cell_angle_alpha 90.00
_cell_angle_beta 90.00
_cell_angle_gamma 90.00
_symmetry_space_group_name_H-M 'P m -3 m'
_symmetry_Int_Tables_number 221
_symmetry_space_group_name_Hall '-P 4 2 3'
loop_
_atom_site_label
_atom_site_type_symbol
_atom_site_fract_x
_atom_site_fract_y
_atom_site_fract_z
Ba1 Ba 0.000 0.000 0.000
Na1 Na 0.000 0.500 0.500
Cd1 Cd 0.500 0.500 0.500
```

Calculated values
Crystal system: cubic
Size of the total moment (μB/f.u.): 0.00

The calculated energies rank the structures as follows, beginning with the most stable: #1, #3, #2.

#1
Computed, not measured: crystalline Ba3NaCd at its relaxed geometry at the PBE level of DFT.

Cell and atoms, written as CIF:
```
data_Ba3NaCd
_chemical_formula_sum 'Ba24 Na8 Cd8'
_cell_length_a 17.691
_cell_length_b 13.789
_cell_length_c 8.758
_cell_angle_alpha 90.00
_cell_angle_beta 90.00
_cell_angle_gamma 90.00
_symmetry_space_group_name_H-M 'C m c e'
_symmetry_Int_Tables_number 64
_symmetry_space_group_name_Hall '-C 2ac 2'
loop_
_atom_site_label
_atom_site_type_symbol
_atom_site_fract_x
_atom_site_fract_y
_atom_site_fract_z
Ba1 Ba 0.000 0.057 0.226
Ba2 Ba 0.142 0.188 0.605
Na1 Na 0.250 0.057 0.250
Cd1 Cd 0.000 0.200 0.886
```

Calculated values
Crystal system: orthorhombic
Size of the total moment (μB/f.u.): 0.00

#2
Computed, not measured: crystalline Ba3NaCd at its relaxed geometry at the PBE level of DFT.

Cell and atoms, written as CIF:
```
data_Ba3NaCd
_chemical_formula_sum 'Ba3 Na1 Cd1'
_cell_length_a 6.753
_cell_length_b 6.753
_cell_length_c 6.753
_cell_angle_alpha 90.00
_cell_angle_beta 90.00
_cell_angle_gamma 90.00
_symmetry_space_group_name_H-M 'P m -3 m'
_symmetry_Int_Tables_number 221
_symmetry_space_group_name_Hall '-P 4 2 3'
loop_
_atom_site_label
_atom_site_type_symbol
_atom_site_fract_x
_atom_site_fract_y
_atom_site_fract_z
Ba1 Ba 0.000 0.000 0.500
Na1 Na 0.500 0.500 0.500
Cd1 Cd 0.000 0.000 0.000
```

Calculated values
Crystal system: cubic
Size of the total moment (μB/f.u.): 0.00

The calculated energies rank the structures as follows, beginning with the most stable: #1, #2.